1.
LiTlTeO4 | GGA-PBE | relaxed

Unit cell a=5.1725 b=5.1725 c=7.8608 alpha=90.00 beta=90.00 gamma=106.08
With the nearest neighbours (Å) after each atom.
Positions (direct):
Li 0.1632 0.8368 0.7500  4 O 1.96-2.06
Li 0.8368 0.1632 0.2500  4 O 1.96-2.06
Tl 0.5000 0.5000 0.0000  2 O 2.08
Tl 0.5000 0.5000 0.5000  2 O 2.08
Te 0.1840 0.8160 0.2500  2 O 1.92
Te 0.8160 0.1840 0.7500  2 O 1.92
O 0.1993 0.2439 0.7500  1 Te 1.92, 1 Li 2.06
O 0.2439 0.1993 0.2500  1 Te 1.92, 1 Li 2.06
O 0.2494 0.7506 0.5171  1 Li 1.96, 1 Tl 2.08, 1 Te 2.17
O 0.2494 0.7506 0.9829  1 Li 1.96, 1 Tl 2.08, 1 Te 2.17
O 0.7506 0.2494 0.0171  1 Li 1.96, 1 Tl 2.08, 1 Te 2.17
O 0.7506 0.2494 0.4829  1 Li 1.96, 1 Tl 2.08, 1 Te 2.17
O 0.7561 0.8007 0.7500  1 Te 1.92, 1 Li 2.06
O 0.8007 0.7561 0.2500  1 Te 1.92, 1 Li 2.06

## Properties
- calculated density (g cm⁻³) = 6.62

***

2.
Li2Tm2TeO6 | GGA-PBE | relaxed

Unit cell a=5.8410 b=5.8410 c=5.2783 alpha=97.99 beta=97.99 gamma=120.95
With the nearest neighbours (Å) after each atom.
Positions (direct):
Li 0.1509 0.8491 0.0000  4 O 2.18-2.33
Li 0.8491 0.1509 0.0000  4 O 2.18-2.33
Tm 0.3359 0.6641 0.5000  6 O 2.21-2.28
Tm 0.6641 0.3359 0.5000  6 O 2.21-2.28
Te 0.0000 0.0000 0.5000  6 O 2.15-2.25
O 0.0433 0.3835 0.7210  1 Li 2.18, 2 Tm 2.21-2.27, 1 Te 2.25
O 0.2573 0.2573 0.2739  1 Te 2.15, 2 Tm 2.28, 2 Li 2.33
O 0.3835 0.0433 0.7210  1 Li 2.18, 2 Tm 2.21-2.27, 1 Te 2.25
O 0.6165 0.9567 0.2790  1 Li 2.18, 2 Tm 2.21-2.27, 1 Te 2.25
O 0.7427 0.7427 0.7261  1 Te 2.15, 2 Tm 2.28, 2 Li 2.33
O 0.9567 0.6165 0.2790  1 Li 2.18, 2 Tm 2.21-2.27, 1 Te 2.25

## Properties
- calculated density (g cm⁻³) = 6.45

***

3.
Li3Tm3TeO8 | GGA-PBE | relaxed

Unit cell a=6.3347 b=6.3347 c=6.3347 alpha=63.71 beta=63.71 gamma=63.71
With the nearest neighbours (Å) after each atom.
Positions (direct):
Li 0.0000 0.5000 0.5000  6 O 2.34-2.37
Li 0.5000 0.0000 0.5000  6 O 2.34-2.37
Li 0.5000 0.5000 0.0000  6 O 2.34-2.37
Tm 0.0000 0.0000 0.5000  6 O 2.24-2.27
Tm 0.0000 0.5000 0.0000  6 O 2.24-2.27
Tm 0.5000 0.0000 0.0000  6 O 2.24-2.27
Te 0.5000 0.5000 0.5000  6 O 2.19
O 0.2426 0.2426 0.2426  3 Tm 2.24, 3 Li 2.37
O 0.2526 0.7372 0.7372  1 Te 2.19, 2 Tm 2.27, 2 Li 2.34
O 0.2628 0.2628 0.7474  1 Te 2.19, 2 Tm 2.27, 2 Li 2.34
O 0.2628 0.7474 0.2628  1 Te 2.19, 2 Tm 2.27, 2 Li 2.34
O 0.7372 0.2526 0.7372  1 Te 2.19, 2 Tm 2.27, 2 Li 2.34
O 0.7372 0.7372 0.2526  1 Te 2.19, 2 Tm 2.27, 2 Li 2.34
O 0.7474 0.2628 0.2628  1 Te 2.19, 2 Tm 2.27, 2 Li 2.34
O 0.7574 0.7574 0.7574  3 Tm 2.24, 3 Li 2.37

## Properties
- calculated density (g cm⁻³) = 6.69

***

| no. | VASP energy (eV per atom) | magnetization (μB/f.u.) |
| --- | --- | --- |
| 1 | -4.9003 | 0.00 |
| 2 | -6.4859 | 0.00 |
| 3 | -6.6311 | 0.00 |